Entry from Alexandria via LeMat-Bulk: a relaxed structure of HgAuCl2 (PBE-GGA).

abc: 5.979 5.979 7.448
angles: 52.87 52.87 36.41
Positions (direct):
Hg1 0.250 0.250 0.250
Au1 0.750 0.750 0.750
Cl1 0.436 0.436 0.564
Cl2 0.064 0.064 0.936

Properties
total magnetization = 0.0 μB/f.u.
symmetry = C2/m (12)
N(E_F) = 3.2 states/eV/f.u.
E_form (uncorrected) = -114 meV per atom


Entry from Alexandria via LeMat-Bulk: a relaxed structure of KTcRh2 (PBE-GGA).

abc: 3.162 3.162 8.057
angles: 90.00 90.00 90.00
Each line ends with the local moment (μB).
Positions (direct):
Rh1 0.500 0.500 0.260  0.11
K1 0.500 0.500 0.759  0.03
Tc1 0.000 0.000 0.408  0.34
Rh2 0.000 0.000 0.073  0.25

Properties
total magnetization = 1.0 μB/f.u.
symmetry = P4mm (99)
formation energy from the elements = 0.718 eV/atom
N(E_F) = 5.6 states/eV/f.u.


no.,volume (Å³/atom)
1,30.51
2,20.15